A plane-wave DFT calculation with PBE was carried out for a relaxed structure of Cr3Pt.

a b c (Å): 2.578 2.578 8.078
angles (deg): 90.00 90.00 106.84
Atoms (fractional coordinates):
Cr1 0.000 0.000 0.985
Cr2 0.000 0.000 0.515
Cr3 0.500 0.500 0.750
Pt1 0.500 0.500 0.250

## Properties
V	12.8	Å³ per atom
space group	Cmmm, No. 65
mass density	11.35	Mg/m³
density of states at the Fermi level	4.44	states/eV per cell
E	-8.633	eV/atom

A plane-wave DFT calculation with PBE was carried out for a relaxed structure of CrPt.

a b c (Å): 6.535 7.713 9.467
angles (deg): 90.00 90.00 90.00
Atoms (fractional coordinates):
Cr1 0.354 0.000 0.000
Cr2 0.646 0.000 0.000
Cr3 0.896 0.750 0.250
Cr4 0.604 0.750 0.250
Cr5 0.354 0.500 0.500
Cr6 0.646 0.500 0.500
Cr7 0.896 0.250 0.750
Cr8 0.604 0.250 0.750
Cr9 0.854 0.000 0.500
Cr10 0.146 0.000 0.500
Cr11 0.396 0.750 0.750
Cr12 0.104 0.750 0.750
Cr13 0.854 0.500 0.000
Cr14 0.146 0.500 0.000
Cr15 0.396 0.250 0.250
Cr16 0.104 0.250 0.250
Pt1 0.000 0.828 0.000
Pt2 0.000 0.172 0.000
Pt3 0.250 0.922 0.250
Pt4 0.250 0.578 0.250
Pt5 0.000 0.328 0.500
Pt6 0.000 0.672 0.500
Pt7 0.250 0.422 0.750
Pt8 0.250 0.078 0.750
Pt9 0.500 0.828 0.500
Pt10 0.500 0.172 0.500
Pt11 0.750 0.922 0.750
Pt12 0.750 0.578 0.750
Pt13 0.500 0.328 0.000
Pt14 0.500 0.672 0.000
Pt15 0.750 0.422 0.250
Pt16 0.750 0.078 0.250

## Properties
V	14.9	Å³ per atom
space group	Fddd, No. 70
mass density	13.76	Mg/m³
density of states at the Fermi level	29.56	states/eV per cell
E	-7.586	eV/atom

A plane-wave DFT calculation with PBE was carried out for a relaxed structure of CrPt.

a b c (Å): 4.320 8.191 4.744
angles (deg): 90.00 90.00 90.00
Atoms (fractional coordinates):
Cr1 0.500 0.834 0.502
Cr2 0.500 0.166 0.502
Cr3 0.500 0.334 0.002
Cr4 0.500 0.666 0.002
Cr5 0.000 0.000 0.657
Cr6 0.000 0.500 0.157
Pt1 0.000 0.329 0.675
Pt2 0.000 0.671 0.675
Pt3 0.000 0.829 0.175
Pt4 0.000 0.171 0.175
Pt5 0.500 0.000 0.992
Pt6 0.500 0.500 0.492

## Properties
V	14.0	Å³ per atom
space group	Amm2, No. 38
mass density	14.66	Mg/m³
density of states at the Fermi level	14.86	states/eV per cell
E	-7.988	eV/atom

A plane-wave DFT calculation with PBE was carried out for a relaxed structure of CrPt3.

a b c (Å): 4.588 4.588 4.588
angles (deg): 90.00 90.00 90.00
Atoms (fractional coordinates):
Cr1 0.000 0.000 0.000
Pt1 0.000 0.000 0.500
Pt2 0.000 0.500 0.000
Pt3 0.500 0.000 0.000

## Properties
V	24.1	Å³ per atom
space group	Pm-3m, No. 221
mass density	10.96	Mg/m³
density of states at the Fermi level	3.11	states/eV per cell
E	-5.653	eV/atom

A plane-wave DFT calculation with PBE was carried out for a relaxed structure of CrPt.

a b c (Å): 3.998 3.998 4.480
angles (deg): 90.00 90.00 120.00
Atoms (fractional coordinates):
Cr1 0.000 0.000 0.000
Cr2 0.000 0.000 0.500
Pt1 0.333 0.667 0.250
Pt2 0.667 0.333 0.750

## Properties
V	15.5	Å³ per atom
space group	P6_3/mmc, No. 194
mass density	13.23	Mg/m³
density of states at the Fermi level	5.35	states/eV per cell
E	-7.527	eV/atom

A plane-wave DFT calculation with PBE was carried out for a relaxed structure of CrPt.

a b c (Å): 4.299 4.299 5.102
angles (deg): 90.00 90.00 120.00
Atoms (fractional coordinates):
Cr1 0.333 0.667 0.250
Cr2 0.667 0.333 0.750
Pt1 0.333 0.667 0.750
Pt2 0.667 0.333 0.250

## Properties
V	20.4	Å³ per atom
space group	P6_3/mmc, No. 194
mass density	10.05	Mg/m³
density of states at the Fermi level	5.91	states/eV per cell
E	-7.232	eV/atom

A plane-wave DFT calculation with PBE was carried out for a relaxed structure of Cr3Pt.

a b c (Å): 5.373 5.373 4.103
angles (deg): 90.00 90.00 120.00
Atoms (fractional coordinates):
Cr1 0.849 0.151 0.250
Cr2 0.151 0.849 0.750
Cr3 0.849 0.698 0.250
Cr4 0.151 0.302 0.750
Cr5 0.302 0.151 0.250
Cr6 0.698 0.849 0.750
Pt1 0.333 0.667 0.250
Pt2 0.667 0.333 0.750

## Properties
V	12.8	Å³ per atom
space group	P6_3/mmc, No. 194
mass density	11.37	Mg/m³
density of states at the Fermi level	11.83	states/eV per cell
E	-8.749	eV/atom

A plane-wave DFT calculation with PBE was carried out for a relaxed structure of CrPt.

a b c (Å): 4.651 4.651 4.651
angles (deg): 130.32 132.89 70.87
Atoms (fractional coordinates):
Cr1 0.354 0.604 0.250
Cr2 0.646 0.396 0.750
Pt1 0.876 0.126 0.250
Pt2 0.124 0.874 0.750

## Properties
V	13.8	Å³ per atom
space group	Imma, No. 74
mass density	14.91	Mg/m³
density of states at the Fermi level	4.73	states/eV per cell
E	-7.938	eV/atom

A plane-wave DFT calculation with PBE was carried out for a relaxed structure of Cr6Pt7.

a b c (Å): 9.198 9.198 9.198
angles (deg): 33.08 33.08 33.08
Atoms (fractional coordinates):
Cr1 0.037 0.037 0.037
Cr2 0.963 0.963 0.963
Cr3 0.151 0.151 0.151
Cr4 0.849 0.849 0.849
Cr5 0.333 0.333 0.333
Cr6 0.667 0.667 0.667
Pt1 0.582 0.080 0.582
Pt2 0.582 0.582 0.080
Pt3 0.080 0.582 0.582
Pt4 0.418 0.920 0.418
Pt5 0.920 0.418 0.418
Pt6 0.418 0.418 0.920
Pt7 0.500 0.500 0.500

## Properties
V	15.9	Å³ per atom
space group	R-3m, No. 166
mass density	13.50	Mg/m³
density of states at the Fermi level	15.75	states/eV per cell
E	-7.614	eV/atom

A plane-wave DFT calculation with PBE was carried out for a relaxed structure of Cr3Pt.

a b c (Å): 2.662 3.588 5.362
angles (deg): 90.00 90.00 90.00
Atoms (fractional coordinates):
Cr1 0.000 0.000 0.966
Cr2 0.000 0.000 0.534
Cr3 0.500 0.500 0.750
Pt1 0.500 0.500 0.250

## Properties
V	12.8	Å³ per atom
space group	Pmmm, No. 47
mass density	11.38	Mg/m³
density of states at the Fermi level	5.34	states/eV per cell
E	-8.674	eV/atom

A plane-wave DFT calculation with PBE was carried out for a relaxed structure of Cr5Pt.

a b c (Å): 4.757 4.757 3.951
angles (deg): 90.00 90.00 120.00
Atoms (fractional coordinates):
Cr1 0.000 0.500 0.500
Cr2 0.333 0.667 0.000
Cr3 0.500 0.000 0.500
Cr4 0.500 0.500 0.500
Cr5 0.667 0.333 0.000
Pt1 0.000 0.000 0.000

## Properties
V	12.9	Å³ per atom
space group	P6/mmm, No. 191
mass density	9.76	Mg/m³
density of states at the Fermi level	4.37	states/eV per cell
E	-8.734	eV/atom

A plane-wave DFT calculation with PBE was carried out for a relaxed structure of CrPt.

a b c (Å): 10.344 10.344 2.768
angles (deg): 90.00 90.00 90.00
Atoms (fractional coordinates):
Cr1 0.327 0.733 0.000
Cr2 0.673 0.267 0.000
Cr3 0.267 0.327 0.000
Cr4 0.733 0.673 0.000
Cr5 0.827 0.233 0.500
Cr6 0.173 0.767 0.500
Cr7 0.767 0.827 0.500
Cr8 0.233 0.173 0.500
Pt1 0.448 0.163 0.000
Pt2 0.552 0.837 0.000
Pt3 0.837 0.448 0.000
Pt4 0.163 0.552 0.000
Pt5 0.948 0.663 0.500
Pt6 0.052 0.337 0.500
Pt7 0.337 0.948 0.500
Pt8 0.663 0.052 0.500

## Properties
V	18.5	Å³ per atom
space group	I4/m, No. 87
mass density	11.08	Mg/m³
density of states at the Fermi level	16.35	states/eV per cell
E	-7.439	eV/atom